Below is a PBEsol-optimized structure of TcSbAs2, with properties calculated at the SCAN level.

Unit cell a=3.037 b=3.037 c=8.203 alpha=90.00 beta=90.00 gamma=90.00
Sites, in units of the cell vectors:
As (0.000, 0.000, 0.680)
As (0.000, 0.000, 0.320)
Sb (0.500, 0.500, 0.000)
Tc (0.500, 0.500, 0.500)

Results
The calculation puts the energy relative to the elements, uncorrected at -6 meV/atom. For the density of states at the Fermi level, the calculation gives 1.88 states/eV per cell.



Below is a PBEsol-optimized structure of Mg2ScCu, with properties calculated at the SCAN level.

Unit cell a=4.685 b=4.673 c=4.685 alpha=120.08 beta=90.00 gamma=120.08
Sites, in units of the cell vectors:
Sc (0.500, 0.000, 0.500)
Cu (0.250, 0.500, 0.750)
Mg (0.750, 0.500, 0.250)
Mg (0.000, 0.000, 0.000)

Results
The energy of formation is -0.0921 eV/atom. For the density of states at the Fermi level, the calculation gives 2.49 states/eV per cell.



Below is a PBEsol-optimized structure of FePb2, with properties calculated at the SCAN level.

Unit cell a=3.439 b=3.439 c=6.525 alpha=90.00 beta=90.00 gamma=120.00
Last column: magnetic moment on the atom in μB.
Sites, in units of the cell vectors:
Fe (0.000, 0.000, 0.000)  2.73
Pb (0.667, 0.333, 0.715)  -0.07
Pb (0.333, 0.667, 0.285)  -0.07

Results
The energy of formation is 0.4169 eV/atom. For the density of states at the Fermi level, the calculation gives 1.76 states/eV per cell.



Below is a PBEsol-optimized structure of AlSi2OsC, with properties calculated at the SCAN level.

Unit cell a=3.826 b=3.957 c=3.957 alpha=90.00 beta=90.00 gamma=90.00
Sites, in units of the cell vectors:
Os (0.500, 0.500, 0.500)
Al (0.500, 0.000, 0.000)
C (0.000, 0.000, 0.000)
Si (0.000, 0.500, 0.000)
Si (0.000, 0.000, 0.500)

Results
The calculation puts the energy relative to the elements, uncorrected at 643 meV/atom. For the density of states at the Fermi level, the calculation gives 2.32 states/eV per cell.